## MnTeI2O (SCAN)

Data for MnTeI2O at its PBEsol-relaxed geometry.

Values from the calculation:
N(E_F) = 7.16 states/eV/cell
VASP energy = -26.588 eV/atom
SG = No. 123

Geometry as POSCAR:
```
MnTeI2O
1.0
5.083 0.000 0.000
0.000 5.341 0.000
0.000 0.000 5.341
I Te O Mn
2 1 1 1
direct
0.000 0.000 0.500 I
0.000 0.500 0.000 I
0.500 0.000 0.000 Te
0.500 0.500 0.500 O
0.000 0.000 0.000 Mn
```